Computed, not measured: an optimized crystal structure of InPt2Rh at the PBE-GGA level of DFT.

Structure (POSCAR):
```
InPt2Rh
1.0
-1.463 2.361 4.766
1.463 -2.361 4.766
1.463 2.361 -4.766
In Pt Rh
1 2 1
Cartesian
0.000 2.361 0.000 In
0.000 0.000 7.167 Pt
0.000 0.000 2.364 Pt
1.463 0.000 0.000 Rh
```

VASP energy: -5.71 eV/atom
Calculated formation energy: -15.7 kJ/mol of atoms
Calculated density: 15.33 g cm⁻³